SrCd2Br | SCAN | PBEsol geometry

Properties
Raw formation energy ... -0.748 eV/atom
Total moment ... 0.000 μB/f.u.
Volume ... 111.6 Å³/cell

Cell lengths 6.807, 6.807, 6.807 Å; angles 143.36, 143.36, 52.78 degrees
Atoms (fractional coordinates):
Sr: 0.000 0.000 0.000
Cd: 0.250 0.750 0.500
Cd: 0.750 0.250 0.500
Br: 0.500 0.500 0.000